Compound: TlFeCoCl5
Source: the Alexandria database
Functional: GGA-PBE
Structure: optimized geometry

```
TlFeCoCl5
1.0
7.250 0.049 0.099
-2.070 6.949 0.099
-2.050 -2.769 8.156
Cl Fe Co Tl
10 2 2 2
direct
0.936 0.064 0.750
0.064 0.936 0.250
0.089 0.700 0.894
0.384 0.235 0.067
0.911 0.300 0.106
0.300 0.911 0.606
0.616 0.765 0.933
0.700 0.089 0.394
0.765 0.616 0.433
0.235 0.384 0.567
0.689 0.311 0.250
0.311 0.689 0.750
0.000 0.000 0.000
0.000 0.000 0.500
0.662 0.338 0.750
0.338 0.662 0.250
```

## Properties
Crystal system ... monoclinic
Volume ... 25.978 Å³ per atom
Total DFT energy (no corrections) ... -4.102 eV per atom

=====

Compound: TlFeCo2Cl8
Source: the Alexandria database
Functional: GGA-PBE
Structure: optimized geometry

```
TlFeCo2Cl8
1.0
6.041 -0.299 0.086
2.521 5.497 0.086
0.571 0.347 9.239
Cl Fe Tl Co
8 1 1 2
direct
0.226 0.226 0.998
0.250 0.776 0.821
0.312 0.312 0.586
0.688 0.688 0.414
0.750 0.224 0.179
0.774 0.774 0.002
0.224 0.750 0.179
0.776 0.250 0.821
0.000 0.000 0.000
0.000 0.000 0.500
0.624 0.624 0.195
0.376 0.376 0.805
```

## Properties
Crystal system ... monoclinic
Volume ... 26.114 Å³ per atom
Total DFT energy (no corrections) ... -3.944 eV per atom

=====

Compound: ZrFe2CoCl
Source: the Alexandria database
Functional: GGA-PBE
Structure: optimized geometry

```
ZrFe2CoCl
1.0
4.425 0.000 0.000
0.000 4.833 0.000
0.000 0.000 4.425
Zr Cl Co Fe
1 1 1 2
direct
0.000 0.500 0.000
0.500 0.500 0.500
0.000 0.000 0.000
0.500 0.000 0.000
0.000 0.000 0.500
```

## Properties
Crystal system ... tetragonal
Volume ... 18.927 Å³ per atom
Total DFT energy (no corrections) ... -6.326 eV per atom

=====

Compound: ZrFeCoCl2
Source: the Alexandria database
Functional: GGA-PBE
Structure: optimized geometry

```
ZrFeCoCl2
1.0
4.368 0.000 0.000
0.000 4.454 0.000
0.000 0.000 4.368
Zr Cl Co Fe
1 2 1 1
direct
0.500 0.500 0.500
0.500 0.000 0.000
0.000 0.000 0.500
0.000 0.000 0.000
0.000 0.500 0.000
```

## Properties
Crystal system ... tetragonal
Volume ... 16.999 Å³ per atom
Total DFT energy (no corrections) ... -4.968 eV per atom

=====

Compound: Ga3CoCl
Source: the Alexandria database
Functional: GGA-PBE
Structure: optimized geometry

```
Ga3CoCl
1.0
-3.450 2.577 -2.937
-3.707 -3.397 1.374
-1.235 2.998 4.081
Co Cl Ga
1 1 3
direct
0.500 0.500 0.500
0.000 0.000 0.000
0.000 0.000 0.500
0.000 0.500 0.000
0.500 0.000 0.000
```

## Properties
Crystal system ... cubic
Volume ... 28.317 Å³ per atom
Total DFT energy (no corrections) ... -2.757 eV per atom

=====

Compound: GaCoCl2
Source: the Alexandria database
Functional: GGA-PBE
Structure: optimized geometry

```
GaCoCl2
1.0
-2.648 6.355 5.594
-3.330 3.546 7.418
-0.175 4.860 7.419
Co Ga Cl
1 1 2
direct
0.500 0.500 0.500
0.000 0.000 0.000
0.888 0.888 0.888
0.112 0.112 0.112
```

## Properties
Crystal system ... trigonal
Volume ... 21.877 Å³ per atom
Total DFT energy (no corrections) ... -3.759 eV per atom

=====

Compound: GaCoCl2
Source: the Alexandria database
Functional: GGA-PBE
Structure: optimized geometry

```
GaCoCl2
1.0
0.000 3.384 3.384
3.384 0.000 3.384
3.384 3.384 0.000
Co Ga Cl
1 1 2
direct
0.000 0.000 0.000
0.500 0.500 0.500
0.750 0.750 0.750
0.250 0.250 0.250
```

## Properties
Crystal system ... cubic
Volume ... 19.370 Å³ per atom
Total DFT energy (no corrections) ... -3.329 eV per atom

=====

Compound: GaCo3Cl
Source: the Alexandria database
Functional: GGA-PBE
Structure: optimized geometry

```
GaCo3Cl
1.0
-0.791 0.769 3.990
0.932 -3.922 0.940
3.955 1.078 0.576
Co Ga Cl
3 1 1
direct
0.000 0.500 0.000
0.000 0.000 0.500
0.500 0.000 0.000
0.500 0.500 0.500
0.000 0.000 0.000
```

## Properties
Crystal system ... cubic
Volume ... 14.187 Å³ per atom
Total DFT energy (no corrections) ... -4.518 eV per atom

=====

Compound: Ga3CoCl
Source: the Alexandria database
Functional: GGA-PBE
Structure: optimized geometry

```
Ga3CoCl
1.0
-4.536 0.487 0.798
0.596 -1.536 4.328
0.720 4.342 1.442
Ga Co Cl
3 1 1
direct
0.000 0.500 0.000
0.000 0.000 0.500
0.500 0.000 0.000
0.000 0.000 0.000
0.500 0.500 0.500
```

## Properties
Crystal system ... cubic
Volume ... 19.870 Å³ per atom
Total DFT energy (no corrections) ... -3.935 eV per atom

=====

Compound: GaCoCl2
Source: the Alexandria database
Functional: GGA-PBE
Structure: optimized geometry

```
GaCoCl2
1.0
-4.968 1.540 -6.621
-1.075 -8.276 -1.118
-5.058 -3.312 -2.329
Cl Co Ga
4 2 2
direct
0.375 0.524 0.750
0.476 0.125 0.250
0.274 0.625 0.250
0.875 0.726 0.750
0.500 0.500 0.000
0.250 0.750 0.500
0.750 0.250 0.500
0.000 0.000 0.000
```

## Properties
Crystal system ... tetragonal
Volume ... 22.637 Å³ per atom
Total DFT energy (no corrections) ... -3.755 eV per atom

=====

Compound: GaCo3Cl
Source: the Alexandria database
Functional: GGA-PBE
Structure: optimized geometry

```
GaCo3Cl
1.0
4.489 0.000 0.000
0.000 4.489 0.000
0.000 0.000 4.489
Cl Co Ga
1 3 1
direct
0.500 0.500 0.500
0.000 0.000 0.500
0.000 0.500 0.000
0.500 0.000 0.000
0.000 0.000 0.000
```

## Properties
Crystal system ... cubic
Volume ... 18.093 Å³ per atom
Total DFT energy (no corrections) ... -4.126 eV per atom

=====

Compound: Ga2CoGeCl
Source: the Alexandria database
Functional: GGA-PBE
Structure: optimized geometry

```
Ga2CoGeCl
1.0
4.670 0.000 0.000
0.000 4.670 0.000
0.000 0.000 4.430
Co Ga Ge Cl
1 2 1 1
direct
0.000 0.000 0.000
0.000 0.500 0.000
0.500 0.000 0.000
0.000 0.000 0.500
0.500 0.500 0.500
```

## Properties
Crystal system ... tetragonal
Volume ... 19.326 Å³ per atom
Total DFT energy (no corrections) ... -4.291 eV per atom